No. 1
The following is a PBE calculation of an optimized crystal structure of Li3Ac2Cu2, from Alexandria.

```
7
Lattice="-1.3108 -1.5017 3.6151 -3.9115 -1.1097 -4.2363 3.9976 -6.5038 -1.2521" Properties=species:S:1:pos:R:3 pbc="T T T"
Li -2.5458 -2.1220 -1.8045
Li 0.0000 0.0000 0.0000
Li 1.3211 -6.9931 -0.0687
Ac -0.4836 -3.4936 0.7306
Ac -0.7411 -5.6216 -2.6038
Cu 1.8663 -4.4963 -1.1910
Cu -3.0910 -4.6189 -0.6823
```

Values from the calculation:
Crystal system: monoclinic
ΔE_f (kcal/mol of atoms): -0.837

No. 2
The following is a PBE calculation of an optimized crystal structure of Tm3Zn9Co2, from Alexandria.

```
14
Lattice="4.1244 0.0000 1.1078 1.5768 7.3169 2.3610 0.1036 0.1639 7.8460" Properties=species:S:1:pos:R:3 pbc="T T T"
Tm 0.0000 0.0000 0.0000
Tm 3.3717 2.3042 3.9105
Tm 2.4332 5.1766 7.4044
Zn 0.8402 3.7404 5.1035
Zn 4.3263 7.3341 8.5878
Zn 1.4785 0.1468 2.7270
Zn 3.9120 5.3225 10.1303
Zn 1.8928 2.1583 1.1845
Zn 4.9891 6.2436 6.1203
Zn 0.8158 1.2373 5.1945
Zn 4.3378 3.0813 8.5452
Zn 1.4671 4.3996 2.7696
Co 2.6536 2.5324 6.5837
Co 3.1512 4.9484 4.7311
```

Values from the calculation:
Crystal system: orthorhombic
ΔE_f (kcal/mol of atoms): -6.255

No. 3
The following is a PBE calculation of an optimized crystal structure of Ce2PrU, from Alexandria.

```
4
Lattice="-0.0315 -2.7309 2.4925 0.6602 -3.4797 -1.0617 10.0719 -0.6963 2.1068" Properties=species:S:1:pos:R:3 pbc="T T T"
Pr 0.0000 0.0000 0.0000
U 5.3503 -3.4535 1.7688
Ce 6.6712 -1.1701 1.5448
Ce 4.0294 -5.7369 1.9928
```

Values from the calculation:
Crystal system: trigonal
ΔE_f (kcal/mol of atoms): 10.871

No. 4
The following is a PBE calculation of an optimized crystal structure of Al2PBr, from Alexandria.

```
4
Lattice="3.5562 0.0000 0.0000 0.0000 3.5371 0.1028 0.0000 1.5926 6.6317" Properties=species:S:1:pos:R:3 pbc="T T T"
P 1.7781 4.0365 6.2836
Al 0.0000 2.2809 5.7986
Al 1.7781 0.6201 1.3930
Br 0.0000 2.3497 3.2583
```

Values from the calculation:
Formation energy (no corrections) (kJ/mol of formula units): -75
Crystal system: monoclinic
ΔE to the lowest computed polymorph (kJ/mol of formula units): 27

No. 5
The following is a PBE calculation of an optimized crystal structure of NaPt, from Alexandria.

```
4
Lattice="-3.1745 -0.7485 1.2775 1.0065 -3.3075 0.5632 2.4370 1.9694 7.2099" Properties=species:S:1:pos:R:3 pbc="T T T"
Na 2.2683 1.8331 6.7107
Na -0.3060 -1.3993 3.2220
Pt 1.3942 1.1267 4.1246
Pt 0.5681 -0.6929 5.8081
```

Values from the calculation:
Crystal system: tetragonal
ΔE_f (kcal/mol of atoms): -0.454

No. 6
The following is a PBE calculation of an optimized crystal structure of CrGaCo2, from Alexandria.

```
4
Lattice="2.8318 0.0000 0.0000 0.0000 4.0711 0.0000 0.0000 0.0000 4.0711" Properties=species:S:1:pos:R:3 pbc="T T T"
Cr 1.4159 2.0356 2.0356
Co 0.0000 0.0000 2.0356
Co 0.0000 2.0356 0.0000
Ga 1.4159 0.0000 0.0000
```

Values from the calculation:
Crystal system: tetragonal
ΔE_f (kcal/mol of atoms): -1.349

No. 7
The following is a PBE calculation of an optimized crystal structure of KRb2HgPt, from Alexandria.

```
5
Lattice="-5.0383 0.8469 3.9536 -0.7280 -6.4036 0.4439 3.8003 -0.0949 4.8632" Properties=species:S:1:pos:R:3 pbc="T T T"
K 1.9001 -0.0474 2.4316
Rb -0.3640 -3.2018 0.2220
Rb -2.5192 0.4234 1.9768
Hg -0.9830 -2.8258 4.6304
Pt 0.0000 0.0000 0.0000
```

Values from the calculation:
Crystal system: tetragonal
ΔE_f (kcal/mol of atoms): 0.760
ΔE to the lowest computed polymorph (kJ/mol of formula units): 31

No. 8
The following is a PBE calculation of an optimized crystal structure of CaReW2, from Alexandria.

```
4
Lattice="-3.8863 2.6862 -2.8639 4.0351 -2.7171 -2.6185 -1.5078 -2.2118 -0.0284" Properties=species:S:1:pos:R:3 pbc="T T T"
Re 1.2637 -2.4644 -1.3235
Ca -2.6971 0.2372 -1.4462
W 0.0000 0.0000 0.0000
W 0.0744 -0.0155 -2.7412
```

Values from the calculation:
Crystal system: orthorhombic
ΔE_f (kcal/mol of atoms): 19.368
ΔE to the lowest computed polymorph (kJ/mol of formula units): 129

No. 9
The following is a PBE calculation of an optimized crystal structure of K2IrRh, from Alexandria.

```
4
Lattice="-2.4087 -1.9940 -4.8264 -0.0008 -3.4746 -4.5825 -2.5516 -3.8066 2.0825" Properties=species:S:1:pos:R:3 pbc="T T T"
Ir -3.7209 -6.9565 -5.4947
K -2.4068 -5.4598 -9.3817
K -2.4833 -4.6465 -3.6903
Rh -1.2403 -2.3188 -1.8316
```

Values from the calculation:
Crystal system: monoclinic
ΔE_f (kcal/mol of atoms): 18.775
ΔE to the lowest computed polymorph (kJ/mol of formula units): 168

No. 10
The following is a PBE calculation of an optimized crystal structure of SrAlAu3, from Alexandria.

```
5
Lattice="5.8098 0.0000 0.0000 0.0000 5.8098 0.0000 0.0000 0.0000 5.8098" Properties=species:S:1:pos:R:3 pbc="T T T"
Sr 0.0000 0.0000 0.0000
Au 0.0000 2.9049 0.0000
Au 0.0000 0.0000 2.9049
Au 2.9049 0.0000 0.0000
Al 2.9049 2.9049 2.9049
```

Values from the calculation:
Crystal system: cubic
ΔE_f (kcal/mol of atoms): 13.045
ΔE to the lowest computed polymorph (kJ/mol of formula units): 548

No. 11
The following is a PBE calculation of an optimized crystal structure of InGa4Pd, from Alexandria.

```
12
Lattice="-3.1607 2.7659 -1.5723 -0.6089 -5.3113 -4.0998 -3.9372 -2.1647 7.3633" Properties=species:S:1:pos:R:3 pbc="T T T"
In -3.0702 -1.6997 -3.8531
In -4.6367 -3.0105 5.5443
Ga -5.0853 -0.1568 5.0841
Ga -3.5274 -0.0660 -1.4312
Ga -2.6216 -4.5533 -3.3930
Ga -4.1795 -4.6441 3.1224
Ga -2.9853 -6.1116 0.8740
Ga -3.2880 -2.6541 -0.5308
Ga -4.7216 1.4015 0.8171
Ga -4.4189 -2.0560 2.2220
Pd -3.5490 0.3006 2.8955
Pd -2.2731 -3.7380 1.6317
```

Values from the calculation:
Crystal system: triclinic
ΔE_f (kcal/mol of atoms): -3.666
ΔE to the lowest computed polymorph (kJ/mol of formula units): 16

No. 12
The following is a PBE calculation of an optimized crystal structure of CaSnH, from Alexandria.

```
6
Lattice="-2.9021 1.8172 -1.7233 -2.4516 -2.6001 1.3868 1.5379 5.1832 7.1390" Properties=species:S:1:pos:R:3 pbc="T T T"
Ca -2.8776 0.4530 1.0603
Ca -0.9382 3.9472 5.7422
Sn -0.4783 2.0121 2.9271
Sn -3.3376 2.3881 3.8753
H -1.2258 -1.3001 0.6934
H -1.4511 0.9086 -0.8617
```

Values from the calculation:
Crystal system: tetragonal
ΔE to the lowest computed polymorph (kJ/mol of formula units): 17

| no. | calculated volume (Å³ per atom) | D(E_F) (states/eV per cell) |
| --- | --- | --- |
| 1 | 25.01 | 5.145 |
| 2 | 16.76 | 8.761 |
| 3 | 29.87 | 7.582 |
| 4 | 20.71 | 1.091 |
| 5 | 24.11 | 2.148 |
| 6 | 11.73 | 4.343 |
| 7 | 51.52 | 4.817 |
| 8 | 17.60 | 2.087 |
| 9 | 19.73 | 4.389 |
| 10 | 39.22 | 0.000 |
| 11 | 19.96 | 3.471 |
| 12 | 20.90 | 1.766 |